Entry 1:
The following is a GGA-PBE calculation of an optimized crystal structure of Co3HAu, from Alexandria.

Properties
total magnetization = 4.8 μB per formula unit
symmetry = Pm-3m (221)
calculated volume = 52 Å³ per cell
VASP energy = -5.464 eV/atom
DOS at the Fermi energy = 4.75 states/eV per cell

a b c (Å): 3.7424 3.7424 3.7424
angles (deg): 90.00 90.00 90.00
Site moments in Bohr magnetons follow the coordinates.
Element x y z (fractional)
Au1 0.5000 0.5000 0.5000  0.14
H1 0.0000 0.0000 0.0000  -0.01
Co1 0.5000 0.0000 0.0000  1.46
Co2 0.0000 0.5000 0.0000  1.58
Co3 0.0000 0.0000 0.5000  1.71

Entry 2:
The following is a GGA-PBE calculation of an optimized crystal structure of HgBiTe2I, from Alexandria.

Properties
total magnetization = 1.3 μB per formula unit
symmetry = P4/mmm (123)
calculated volume = 225 Å³ per cell
DOS at the Fermi energy = 8.70 states/eV per cell
formation energy from raw total energies = 1.51 eV per formula unit

a b c (Å): 6.0281 6.0281 6.1987
angles (deg): 90.00 90.00 90.00
Site moments in Bohr magnetons follow the coordinates.
Element x y z (fractional)
I1 0.0000 0.0000 0.5000  0.07
Hg1 0.5000 0.5000 0.5000  0.04
Te1 0.0000 0.5000 0.0000  0.30
Te2 0.5000 0.0000 0.0000  0.30
Bi1 0.0000 0.0000 0.0000  -0.01

Entry 3:
The following is a GGA-PBE calculation of an optimized crystal structure of Pm4Pr3Y4, from Alexandria.

Properties
energy relative to the elements = 146 meV per atom
total magnetization = 0.0 μB per formula unit
symmetry = Amm2 (38)
calculated volume = 382 Å³ per cell
DOS at the Fermi energy = 17.69 states/eV per cell

a b c (Å): 5.8084 6.7555 10.7957
angles (deg): 90.00 90.00 115.46
Element x y z (fractional)
Pr1 0.4058 0.8116 0.7044
Pr2 0.2548 0.5096 0.0000
Pr3 0.4058 0.8116 0.2956
Pm1 0.8842 0.7684 0.5000
Pm2 0.7568 0.5137 0.7884
Pm3 0.9601 0.9201 0.0000
Pm4 0.7568 0.5137 0.2116
Y1 0.1019 0.2039 0.7018
Y2 0.6139 0.2278 0.5000
Y3 0.5564 0.1128 0.0000
Y4 0.1019 0.2039 0.2982

Entry 4:
The following is a GGA-PBE calculation of an optimized crystal structure of ReSiTc4, from Alexandria.

Properties
total magnetization = 0.0 μB per formula unit
symmetry = F-43m (216)
calculated volume = 91 Å³ per cell
DOS at the Fermi energy = 3.68 states/eV per cell
formation energy from raw total energies = 2.92 eV per formula unit

a b c (Å): 5.0485 5.0485 5.0485
angles (deg): 60.00 60.00 60.00
Element x y z (fractional)
Tc1 0.6263 0.6263 0.6263
Tc2 0.6263 0.6263 0.1210
Tc3 0.6263 0.1210 0.6263
Tc4 0.1210 0.6263 0.6263
Re1 0.2500 0.2500 0.2500
Si1 0.0000 0.0000 0.0000

Entry 5:
The following is a GGA-PBE calculation of an optimized crystal structure of Co2CuAs, from Alexandria.

Properties
energy relative to the elements = 115 meV per atom
total magnetization = 1.5 μB per formula unit
symmetry = P2/m (10)
calculated volume = 49 Å³ per cell
DOS at the Fermi energy = 3.46 states/eV per cell

a b c (Å): 3.6850 2.7294 5.1163
angles (deg): 72.79 90.00 90.00
Site moments in Bohr magnetons follow the coordinates.
Element x y z (fractional)
Co1 0.0000 0.6160 0.5089  0.80
Co2 0.0000 0.8840 0.9911  0.80
As1 0.5000 0.7500 0.7500  -0.02
Cu1 0.5000 0.2500 0.2500  0.02

Entry 6:
The following is a GGA-PBE calculation of an optimized crystal structure of Np3Cu5Te12, from Alexandria.

Properties
total magnetization = 9.5 μB per formula unit
symmetry = Ia-3d (230)
calculated volume = 2274 Å³ per cell
DOS at the Fermi energy = 162.00 states/eV per cell
formation energy from raw total energies = -4.18 eV per formula unit

a b c (Å): 14.3481 14.3481 14.3481
angles (deg): 109.47 109.47 109.47
Site moments in Bohr magnetons follow the coordinates.
Element x y z (fractional)
Cu1 0.2500 0.3750 0.6250  -0.03
Cu2 0.5000 0.5000 0.0000  0.00
Cu3 0.0000 0.5000 0.5000  0.00
Cu4 0.0000 0.0000 0.0000  0.00
Cu5 0.6250 0.8750 0.2500  -0.03
Cu6 0.6250 0.7500 0.8750  -0.03
Cu7 0.7500 0.1250 0.8750  -0.03
Cu8 0.3750 0.2500 0.1250  -0.03
Cu9 0.2500 0.8750 0.1250  -0.03
Cu10 0.5000 0.0000 0.5000  0.00
Cu11 0.5000 0.0000 0.0000  0.00
Cu12 0.0000 0.5000 0.0000  0.00
Cu13 0.0000 0.0000 0.5000  0.00
Cu14 0.1250 0.7500 0.3750  -0.03
Cu15 0.8750 0.2500 0.6250  -0.03
Cu16 0.8750 0.6250 0.7500  -0.03
Cu17 0.7500 0.6250 0.3750  -0.03
Cu18 0.5000 0.5000 0.5000  0.00
Cu19 0.1250 0.3750 0.2500  -0.03
Cu20 0.3750 0.1250 0.7500  -0.03
Te1 0.6756 0.2118 0.5885  -0.08
Te2 0.7118 0.5885 0.1756  -0.08
Te3 0.0871 0.9115 0.1233  -0.08
Te4 0.3767 0.4129 0.0885  -0.08
Te5 0.3244 0.5362 0.4129  -0.08
Te6 0.0362 0.6233 0.7118  -0.08
Te7 0.9129 0.8244 0.5362  -0.08
Te8 0.5362 0.3244 0.9129  -0.08
Te9 0.6756 0.4638 0.5871  -0.08
Te10 0.0885 0.9129 0.3767  -0.08
Te11 0.4129 0.3767 0.5885  -0.08
Te12 0.9115 0.0871 0.6233  -0.08
Te13 0.0362 0.4129 0.8244  -0.08
Te14 0.4115 0.2882 0.3244  -0.08
Te15 0.5871 0.6233 0.4115  -0.08
Te16 0.4115 0.1233 0.5871  -0.08
Te17 0.3767 0.9638 0.7882  -0.08
Te18 0.4129 0.0362 0.3244  -0.08
Te19 0.0885 0.1756 0.2118  -0.08
Te20 0.5871 0.9638 0.6756  -0.08
Te21 0.4638 0.6756 0.0871  -0.08
Te22 0.2882 0.8767 0.9638  -0.08
Te23 0.0871 0.1756 0.4638  -0.08
Te24 0.2118 0.6756 0.0885  -0.08
Te25 0.8244 0.9115 0.2882  -0.08
Te26 0.5885 0.7118 0.6756  -0.08
Te27 0.2118 0.5362 0.6233  -0.08
Te28 0.9115 0.8244 0.7882  -0.08
Te29 0.6233 0.5871 0.9115  -0.08
Te30 0.3244 0.7882 0.4115  -0.08
Te31 0.7882 0.3244 0.9115  -0.08
Te32 0.8767 0.2882 0.4638  -0.08
Te33 0.9129 0.0885 0.8767  -0.08
Te34 0.4638 0.7882 0.8767  -0.08
Te35 0.9638 0.5871 0.1756  -0.08
Te36 0.8767 0.5885 0.9129  -0.08
Te37 0.1756 0.0885 0.7118  -0.08
Te38 0.2882 0.4115 0.8244  -0.08
Te39 0.1756 0.0871 0.9638  -0.08
Te40 0.1233 0.4115 0.0871  -0.08
Te41 0.9638 0.3767 0.2882  -0.08
Te42 0.6233 0.0362 0.2118  -0.08
Te43 0.7118 0.1233 0.0362  -0.08
Te44 0.7882 0.4638 0.3767  -0.08
Te45 0.1233 0.7118 0.5362  -0.08
Te46 0.5362 0.2118 0.1233  -0.08
Te47 0.5885 0.8767 0.4129  -0.08
Te48 0.8244 0.9129 0.0362  -0.08
Np1 0.6250 0.3750 0.7500  3.59
Np2 0.7500 0.8750 0.6250  3.59
Np3 0.1250 0.8750 0.7500  3.59
Np4 0.1250 0.2500 0.8750  3.59
Np5 0.8750 0.1250 0.2500  3.59
Np6 0.3750 0.6250 0.2500  3.59
Np7 0.8750 0.7500 0.1250  3.59
Np8 0.3750 0.7500 0.6250  3.59
Np9 0.7500 0.3750 0.1250  3.59
Np10 0.6250 0.2500 0.3750  3.59
Np11 0.2500 0.1250 0.3750  3.59
Np12 0.2500 0.6250 0.8750  3.59